# ZrHg2IrPb

An optimized crystal structure of ZrHg2IrPb (PBE, the Alexandria database).

```
5
Lattice="5.2625 0.0000 0.0000 0.0000 5.6754 0.0000 0.0000 0.0000 5.2625" Properties=species:S:1:pos:R:3 pbc="T T T"
Pb 0.0000 0.0000 0.0000
Ir 2.6312 2.8377 2.6312
Hg 0.0000 0.0000 2.6312
Hg 2.6312 0.0000 0.0000
Zr 0.0000 2.8377 0.0000
```

Summary:
Volume in Å³/atom: 31.4
Magnetic moment in μB/cell: 0.48
D(E_F) in states/eV/f.u.: 6.72
Energy of formation from the pure elements in eV/atom: 1.61
Calculated density in g cm⁻³: 9.4